Entry 1:
Hf2TaCo2: relaxed, PBE.

Values from the calculation:
formation energy	-0.206	eV/atom
M_tot	0.0	μB per cell

Cell lengths 7.029, 7.029, 3.308 Å; angles 90.00, 90.00, 90.00 degrees
Fractional coordinates of all 10 atoms:
Hf  0.169  0.331  0.000
Hf  0.331  0.831  0.000
Hf  0.669  0.169  0.000
Hf  0.831  0.669  0.000
Ta  0.000  0.000  0.500
Ta  0.500  0.500  0.500
Co  0.129  0.629  0.500
Co  0.371  0.129  0.500
Co  0.629  0.871  0.500
Co  0.871  0.371  0.500

***

Entry 2:
HfTa2Co: relaxed, PBE.

Values from the calculation:
formation energy	0.185	eV/atom
M_tot	0.0	μB per cell

Cell lengths 4.555, 4.555, 4.555 Å; angles 60.00, 60.00, 60.00 degrees
Fractional coordinates of all 4 atoms:
Hf  0.000  0.000  0.000
Ta  0.250  0.250  0.250
Ta  0.750  0.750  0.750
Co  0.500  0.500  0.500

***

Entry 3:
HfTa2Co2: relaxed, PBE.

Values from the calculation:
formation energy	0.247	eV/atom
M_tot	0.0	μB per cell

Cell lengths 6.474, 6.474, 6.474 Å; angles 145.77, 145.77, 49.18 degrees
Fractional coordinates of all 5 atoms:
Hf  0.000  0.000  0.000
Ta  0.380  0.380  0.000
Ta  0.620  0.620  0.000
Co  0.250  0.750  0.500
Co  0.750  0.250  0.500

***

Entry 4:
HfTaCo2: relaxed, PBE.

Values from the calculation:
formation energy	0.241	eV/atom
M_tot	0.0	μB per cell

Cell lengths 5.529, 5.529, 5.529 Å; angles 104.73, 104.73, 119.45 degrees
Fractional coordinates of all 8 atoms:
Hf  0.000  0.000  0.000
Hf  0.750  0.250  0.500
Ta  0.250  0.750  0.500
Ta  0.500  0.500  0.000
Co  0.141  0.625  0.016
Co  0.375  0.391  0.516
Co  0.609  0.125  0.984
Co  0.875  0.859  0.484

***

Entry 5:
Hf3TaCo: relaxed, PBE.

Values from the calculation:
formation energy	1.532	eV/atom
M_tot	0.0	μB per cell

Cell lengths 5.021, 5.021, 5.021 Å; angles 90.00, 90.00, 90.00 degrees
Fractional coordinates of all 5 atoms:
Hf  0.000  0.000  0.500
Hf  0.000  0.500  0.000
Hf  0.500  0.000  0.000
Ta  0.000  0.000  0.000
Co  0.500  0.500  0.500

***

Entry 6:
HfTa3Co: relaxed, PBE.

Values from the calculation:
formation energy	0.595	eV/atom
M_tot	0.0	μB per cell

Cell lengths 4.621, 4.621, 4.621 Å; angles 90.00, 90.00, 90.00 degrees
Fractional coordinates of all 5 atoms:
Hf  0.000  0.000  0.000
Ta  0.000  0.500  0.500
Ta  0.500  0.000  0.500
Ta  0.500  0.500  0.000
Co  0.500  0.500  0.500